Sb2TeWO | Alexandria | GGA+U | relaxed; total energy = -0.314 Ry per atom; distance to the lowest polymorph of the same formula = 0.0 kJ per mole of atoms; crystal system = tetragonal; DOS(E_F) = 2.550 states/eV/cell
1.0
4.671 0.000 0.000
0.000 4.671 0.000
0.000 0.000 5.031
Sb Te W O
2 1 1 1
direct
0.000 0.500 0.000
0.500 0.000 0.000
0.000 0.000 0.500
0.500 0.500 0.500
0.000 0.000 0.000